VASP calculation (PBE) on crystalline BaHo2AgS4 at its relaxed geometry.

Output
Energy   -5.47 eV per atom

Structure (CIF):
```
data_BaHo2AgS4
_cell_length_a 7.042
_cell_length_b 7.042
_cell_length_c 13.856
_cell_angle_alpha 90.00
_cell_angle_beta 90.00
_cell_angle_gamma 146.24
_symmetry_space_group_name_H-M 'P 1'
_symmetry_Int_Tables_number 1
loop_
_symmetry_equiv_pos_as_xyz
'x,y,z'
loop_
_atom_site_label
_atom_site_type_symbol
_atom_site_fract_x
_atom_site_fract_y
_atom_site_fract_z
Ba1 Ba 0.126 0.874 0.750
Ba2 Ba 0.874 0.126 0.250
Ho1 Ho 0.376 0.624 0.557
Ho2 Ho 0.376 0.624 0.943
Ho3 Ho 0.624 0.376 0.057
Ho4 Ho 0.624 0.376 0.443
Ag1 Ag 0.149 0.851 0.250
Ag2 Ag 0.851 0.149 0.750
S1 S 0.000 0.000 0.000
S2 S 0.000 0.000 0.500
S3 S 0.265 0.735 0.107
S4 S 0.265 0.735 0.393
S5 S 0.453 0.547 0.750
S6 S 0.547 0.453 0.250
S7 S 0.735 0.265 0.607
S8 S 0.735 0.265 0.893
```